DFT (PBE) results for a relaxed structure of BaSnBiPd2.

Unit cell a=4.808 b=4.808 c=11.068 alpha=90.00 beta=90.00 gamma=90.00
Space group P4/nmm (No. 129, origin choice 2)
Unique sites:
1 Ba 0.250 0.250 0.246 x2
2 Sn 0.250 0.750 0.500 x2
3 Bi 0.250 0.250 0.872 x2
4 Pd 0.250 0.250 0.619 x2
5 Pd 0.250 0.750 0.000 x2

Calculated values
* volume: 256 Å³ per cell
* total DFT energy (no corrections): -47.42 eV per cell